(1)
ScSnRuF2: optimized geometry, PBE.

Cell lengths 3.910, 3.910, 6.571 Å; angles 90.00, 90.00, 90.00 degrees
Fractional positions:
Sc 0.000 0.000 0.000
Sn 0.000 0.000 0.500
Ru 0.500 0.500 0.500
F 0.000 0.500 0.000
F 0.500 0.000 0.000

ΔE_f (raw)   -1.570 eV/atom

(2)
ScTa2RuF: optimized geometry, PBE.

Cell lengths 4.910, 4.910, 4.098 Å; angles 90.00, 90.00, 90.00 degrees
Fractional positions:
Sc 0.000 0.000 0.000
Ta 0.000 0.500 0.500
Ta 0.500 0.000 0.500
Ru 0.500 0.500 0.500
F 0.500 0.500 0.000

ΔE_f (raw)   0.505 eV/atom

(3)
ScTlRuF2: optimized geometry, PBE.

Cell lengths 4.302, 4.302, 4.990 Å; angles 90.00, 90.00, 90.00 degrees
Fractional positions:
Sc 0.000 0.000 0.000
Tl 0.500 0.500 0.000
Ru 0.000 0.000 0.500
F 0.000 0.500 0.500
F 0.500 0.000 0.500

ΔE_f (raw)   -0.703 eV/atom